Material: PaTe2Br8
Method: DFT, GGA-PBE
State: optimized geometry

Calculated values
Calculated density in g/cm³: 3.43
SG: C2/m, No. 12
Density of states at the Fermi level in states/eV/atom: 0.041
E_form (uncorrected) in eV per atom: -0.840

Geometry as POSCAR:
```
PaTe2Br8
1.0
6.7519 -4.3056 0.0000
6.7519 4.3056 0.0000
-5.2960 0.0000 9.3685
Pa Te Br
1 2 8
Cartesian
0.0000 0.0000 0.0000 Pa
-1.3650 0.0000 4.1548 Te
9.5728 0.0000 5.2136 Te
5.1602 2.4061 1.1216 Br
1.5161 0.0000 2.2805 Br
-0.2795 0.0000 6.4129 Br
3.0475 2.4061 8.2469 Br
5.1602 -2.4061 1.1216 Br
8.4873 0.0000 2.9556 Br
6.6916 0.0000 7.0879 Br
3.0475 -2.4061 8.2469 Br
```